Run P
DFT (PBE) results for a geometry-optimized TeIrRu structure.

## Properties
Space-group type: Imm2, No. 44

Cell and atoms, written as extended XYZ:
```
3
Lattice="-0.271 4.041 -2.666 -4.210 2.405 0.094 3.594 -1.684 2.786" Properties=species:S:1:pos:R:3 pbc="T T T"
Ir -4.423 6.362 -2.539
Ru -1.551 2.232 -0.890
Te -2.988 4.299 -1.715
```

Run Q
DFT (PBE) results for a geometry-optimized TeIrRu structure.

## Properties
Space-group type: Amm2, No. 38

Cell and atoms, written as extended XYZ:
```
6
Lattice="-2.997 0.406 -0.323 1.446 -2.067 -1.699 -2.204 -9.024 9.102" Properties=species:S:1:pos:R:3 pbc="T T T"
Ir -1.510 -0.217 -0.581
Ir -1.131 -5.545 3.520
Ru -2.952 -6.114 5.383
Ru -2.272 -3.329 2.573
Te -1.838 -8.443 6.439
Te -0.424 -2.651 0.597
```

Which of them is the most stable? Correct choice: run P.